1.
Tb5Ge2Pb2 GGA-PBE optimized geometry; space-group type = Cmce, No. 64; ΔE_f = -6.366 eV per formula unit
1.0
7.739 -4.008 0.000
7.739 4.008 0.000
0.000 0.000 7.971
Tb Ge Pb
10 4 4
direct
0.000 0.000 0.000
0.043 0.705 0.667
0.205 0.543 0.167
0.295 0.957 0.667
0.457 0.795 0.167
0.500 0.500 0.500
0.543 0.205 0.833
0.705 0.043 0.333
0.795 0.457 0.833
0.957 0.295 0.333
0.136 0.864 0.363
0.364 0.636 0.863
0.636 0.364 0.137
0.864 0.136 0.637
0.211 0.211 0.000
0.289 0.289 0.500
0.711 0.711 0.500
0.789 0.789 0.000



2.
TbGePb GGA-PBE optimized geometry; relative energy among the computed polymorphs = 79 kJ/mol of formula units; space-group type = P3m1, No. 156; ΔE_f = -0.680 eV per formula unit
1.0
4.919 0.000 0.000
-2.460 4.260 0.000
0.000 0.000 3.772
Tb Ge Pb
1 1 1
direct
0.000 0.000 0.000
0.667 0.333 0.638
0.333 0.667 0.442



3.
Tb3Ge2Pb GGA-PBE optimized geometry; space-group type = Cmmm, No. 65; ΔE_f = -3.321 eV per formula unit
1.0
2.214 -8.048 0.000
2.214 8.048 0.000
0.000 0.000 4.231
Tb Ge Pb
3 2 1
direct
0.000 0.000 0.000
0.172 0.828 0.500
0.828 0.172 0.500
0.342 0.658 0.000
0.658 0.342 0.000
0.500 0.500 0.500



4.
Tb4Ge2Pb GGA-PBE optimized geometry; space-group type = I4_1/amd, No. 141; ΔE_f = -4.001 eV per formula unit
1.0
-4.726 4.726 4.708
4.726 -4.726 4.708
4.726 4.726 -4.708
Tb Ge Pb
8 4 2
direct
0.205 0.274 0.569
0.205 0.636 0.931
0.274 0.205 0.069
0.364 0.795 0.569
0.636 0.205 0.431
0.726 0.795 0.931
0.795 0.364 0.069
0.795 0.726 0.431
0.000 0.500 0.500
0.500 0.000 0.000
0.500 0.500 0.000
0.500 0.500 0.500
0.125 0.875 0.250
0.875 0.125 0.750



5.
Tb7Ge2Pb2 GGA-PBE optimized geometry; space-group type = Cmmm, No. 65; ΔE_f = -3.834 eV per formula unit
1.0
4.341 -5.504 0.000
4.341 5.504 0.000
0.000 0.000 6.978
Tb Ge Pb
7 2 2
direct
0.000 0.000 0.000
0.000 0.500 0.263
0.000 0.500 0.737
0.500 0.000 0.263
0.500 0.000 0.737
0.500 0.500 0.244
0.500 0.500 0.756
0.273 0.727 0.000
0.727 0.273 0.000
0.184 0.184 0.500
0.816 0.816 0.500



6.
TbGePb GGA-PBE optimized geometry; relative energy among the computed polymorphs = 0 kJ/mol of formula units; space-group type = Cmcm, No. 63; ΔE_f = -1.496 eV per formula unit
1.0
2.215 -8.386 0.000
2.215 8.386 0.000
0.000 0.000 4.106
Tb Ge Pb
2 2 2
direct
0.090 0.910 0.750
0.910 0.090 0.250
0.448 0.552 0.750
0.552 0.448 0.250
0.265 0.735 0.250
0.735 0.265 0.750



7.
Tb2GePb GGA-PBE optimized geometry; space-group type = P4/mmm, No. 123; ΔE_f = -1.959 eV per formula unit
1.0
4.909 0.000 0.000
0.000 4.909 0.000
0.000 0.000 4.267
Tb Ge Pb
2 1 1
direct
0.000 0.500 0.000
0.500 0.000 0.000
0.000 0.000 0.500
0.500 0.500 0.500



8.
Tb2GePb GGA-PBE optimized geometry; space-group type = Cmcm, No. 63; ΔE_f = -2.272 eV per formula unit
1.0
2.316 -11.701 0.000
2.316 11.701 0.000
0.000 0.000 4.020
Tb Ge Pb
4 2 2
direct
0.061 0.939 0.750
0.329 0.671 0.750
0.671 0.329 0.250
0.939 0.061 0.250
0.462 0.538 0.750
0.538 0.462 0.250
0.193 0.807 0.750
0.807 0.193 0.250



9.
Tb8Ge3Te4Pb GGA-PBE optimized geometry; ΔE_f (raw) = -1.127 eV per atom; space-group type = R-3m, No. 166
1.0
4.309 2.488 7.146
-4.309 2.488 7.146
0.000 -4.976 7.146
Tb Ge Te Pb
8 3 4 1
direct
0.232 0.748 0.748
0.240 0.240 0.240
0.252 0.252 0.768
0.252 0.768 0.252
0.748 0.232 0.748
0.748 0.748 0.232
0.760 0.760 0.760
0.768 0.252 0.252
0.000 0.000 0.500
0.000 0.500 0.000
0.500 0.000 0.000
0.000 0.000 0.000
0.000 0.500 0.500
0.500 0.000 0.500
0.500 0.500 0.000
0.500 0.500 0.500



10.
Tb4GeTe2Pb GGA-PBE optimized geometry; ΔE_f (raw) = -1.063 eV per atom; space-group type = P2/m, No. 10
1.0
7.583 0.000 0.000
0.000 4.328 0.000
-2.486 0.000 7.176
Tb Ge Te Pb
4 1 2 1
direct
0.231 0.000 0.225
0.243 0.500 0.766
0.757 0.500 0.234
0.769 0.000 0.775
0.000 0.500 0.000
0.000 0.000 0.500
0.500 0.500 0.500
0.500 0.000 0.000



11.
Tc3GePb GGA-PBE optimized geometry; relative energy among the computed polymorphs = 639 kJ/mol of formula units; space-group type = Pm-3m, No. 221; ΔE_f = 12.123 eV per formula unit
1.0
5.112 0.000 0.000
0.000 5.112 0.000
0.000 0.000 5.112
Tc Ge Pb
3 1 1
direct
0.000 0.000 0.500
0.000 0.500 0.000
0.500 0.000 0.000
0.500 0.500 0.500
0.000 0.000 0.000



12.
Tc3GePb GGA-PBE optimized geometry; relative energy among the computed polymorphs = 0 kJ/mol of formula units; space-group type = Pm-3m, No. 221; ΔE_f = 5.497 eV per formula unit
1.0
4.614 0.000 0.000
0.000 4.614 0.000
0.000 0.000 4.614
Tc Ge Pb
3 1 1
direct
0.000 0.000 0.500
0.000 0.500 0.000
0.500 0.000 0.000
0.000 0.000 0.000
0.500 0.500 0.500



The records above yield total magnetic moment values of 0.00, 0.00, 0.00, 0.00, 0.00, 0.00, 0.00, 0.00, 0.00, 0.00, 1.60, 0.48 μB per atom, respectively.
The records above yield theoretical density values of 9.10, 9.22, 9.13, 7.80, 8.33, 9.55, 9.65, 9.11, 7.97, 8.26, 7.13, 9.70 g/cm³, respectively.